No. 1
SmHfF7 | GGA-PBE | relaxed

SG: P2_1, No. 4
Uncorrected formation energy (eV/atom): -3.9870
Total magnetic moment (μB/f.u.): 0.065
Crystal system: monoclinic

extended XYZ file:
```
18
Lattice="5.872 0.000 0.000 0.000 6.177 0.062 0.000 1.780 8.203" Properties=species:S:1:pos:R:3 pbc="T T T"
F 1.250 6.246 4.413
F 1.184 4.788 0.204
F 2.615 1.671 6.273
F 5.680 4.975 6.531
F 2.381 3.750 4.270
F 2.724 5.082 6.548
F 2.784 6.245 2.073
F 5.660 2.875 1.718
F 4.186 1.712 3.852
F 2.744 2.982 1.734
F 5.317 4.207 3.995
F 5.551 6.286 1.992
F 4.121 3.169 8.062
F 5.720 1.712 6.193
Hf 1.212 6.407 6.408
Hf 4.148 1.550 1.858
Sm 1.171 4.603 2.589
Sm 4.107 3.354 5.676
```

No. 2
Ti3Al2Ir3 | GGA-PBE | relaxed

SG: R3m, No. 160
Energy of formation from the pure elements (eV per atom): -0.8367
Total magnetic moment (μB/f.u.): 2.793
Crystal system: trigonal

extended XYZ file:
```
8
Lattice="4.179 0.000 1.260 1.900 3.723 1.260 -0.010 -0.006 7.598" Properties=species:S:1:pos:R:3 pbc="T T T"
Ir 2.267 1.388 7.605
Ir 5.318 3.257 5.044
Ir 0.751 0.460 5.073
Al 3.020 1.849 5.108
Al 0.007 0.004 7.541
Ti 4.559 2.792 7.565
Ti 3.799 2.326 2.523
Ti 1.512 0.926 2.548
```

No. 3
PdI2Br | GGA-PBE | relaxed

SG: Fm-3m, No. 225
Uncorrected formation energy (eV/atom): 0.5146
Total magnetic moment (μB/f.u.): 0.000
Crystal system: cubic

extended XYZ file:
```
4
Lattice="-4.960 -0.669 -1.714 -4.006 2.386 2.498 -2.558 4.004 -2.326" Properties=species:S:1:pos:R:3 pbc="T T T"
I -2.881 1.431 -0.385
I -8.643 4.292 -1.156
Pd -5.762 2.861 -0.771
Br 0.000 0.000 0.000
```

What density of states at the Fermi level values result from the calculations? In sequence: 0.00, 3.27, 5.07 states/eV/f.u..